# 1
Entry from Alexandria via LeMat-Bulk: MgCrHg2 after structural relaxation (GGA-PBE).

Computed properties:
- total magnetic moment (μB per formula unit) = 4.107
- formation enthalpy at 0 K (eV/atom) = 0.177
- raw total energy (eV/atom) = -2.78

Cell: 10.102 3.655 4.615 Å, 90.00 107.11 90.00°
Space group Cm (No. 8)
One atom of each set of equivalent atoms:
Mg (0.000, 0.000, 0.000)
Cr (0.246, 0.000, 0.691)
Hg (0.006, 0.500, 0.517)
Hg (0.249, 0.500, 0.193)



# 2
Entry from Alexandria via LeMat-Bulk: BaLiFe2Br8 after structural relaxation (GGA-PBE).

Computed properties:
- total magnetic moment (μB per formula unit) = 9.000
- raw total energy (eV/atom) = -3.88
- energy relative to the elements, uncorrected (meV/atom) = -1032

Cell: 6.8768 6.8768 9.3086 Å, 90.00 90.00 120.00°
Space group P-3 (No. 147)
One atom of each set of equivalent atoms:
Ba (0.0000, 0.0000, 0.0000)
Li (0.0000, 0.0000, 0.5000)
Fe (0.3333, 0.6667, 0.7522)
Br (0.0152, 0.3138, 0.6883)
Br (0.3333, 0.6667, 0.0088)



# 3
Entry from Alexandria via LeMat-Bulk: Th6Ge2TeAs3 after structural relaxation (GGA-PBE).

Computed properties:
- total magnetic moment (μB per formula unit) = 0.000
- raw total energy (eV/atom) = -7.06
- energy relative to the elements, uncorrected (meV/atom) = -1152

Cell: 18.773 4.301 8.641 Å, 90.00 103.10 90.00°
Space group C2/m (No. 12)
One atom of each set of equivalent atoms:
Th (0.002, 0.000, 0.271)
Th (0.168, 0.500, 0.583)
Th (0.175, 0.500, 0.090)
Ge (0.166, 0.000, 0.332)
Te (0.000, 0.500, 0.000)
As (0.000, 0.500, 0.500)
As (0.163, 0.000, 0.833)



# 4
Entry from Alexandria via LeMat-Bulk: TbCeEu2 after structural relaxation (GGA-PBE).

Computed properties:
- total magnetic moment (μB per formula unit) = 14.596
- formation enthalpy at 0 K (eV/atom) = 0.284
- ΔE to the lowest computed polymorph (kJ/mol of formula units) = 21
- raw total energy (eV/atom) = -7.49

Cell: 3.5325 3.5325 38.5939 Å, 90.00 90.00 120.00°
Space group R-3m (No. 166, hexagonal axes)
One atom of each set of equivalent atoms:
Tb (0.0000, 0.0000, 0.0000)
Ce (0.0000, 0.0000, 0.5000)
Eu (0.0000, 0.0000, 0.0875)



# 5
Entry from Alexandria via LeMat-Bulk: CsCaFe3 after structural relaxation (GGA-PBE).

Computed properties:
- total magnetic moment (μB per formula unit) = 9.074
- formation enthalpy at 0 K (eV/atom) = 1.785
- ΔE to the lowest computed polymorph (kJ/mol of formula units) = 0
- raw total energy (eV/atom) = -3.86

Cell: 5.490 5.490 5.490 Å, 90.00 90.00 90.00°
Space group Pm-3m (No. 221)
One atom of each set of equivalent atoms:
Cs (0.000, 0.000, 0.000)
Ca (0.500, 0.500, 0.500)
Fe (0.000, 0.500, 0.500)



# 6
Entry from Alexandria via LeMat-Bulk: Cd2SbMo after structural relaxation (GGA-PBE).

Computed properties:
- total magnetic moment (μB per formula unit) = 0.785
- raw total energy (eV/atom) = -3.74
- energy relative to the elements, uncorrected (meV/atom) = 455

Cell: 3.364 4.576 5.331 Å, 90.00 90.00 90.00°
Space group Pmmm (No. 47)
One atom of each set of equivalent atoms:
Cd (0.000, 0.000, 0.000)
Cd (0.500, 0.500, 0.000)
Sb (0.000, 0.500, 0.500)
Mo (0.500, 0.000, 0.500)



# 7
Entry from Alexandria via LeMat-Bulk: NaCoWCl2 after structural relaxation (GGA-PBE).

Computed properties:
- total magnetic moment (μB per formula unit) = 6.814
- raw total energy (eV/atom) = -3.48
- energy relative to the elements, uncorrected (meV/atom) = 1537

Cell: 4.766 4.766 5.794 Å, 90.00 90.00 90.00°
Space group P4/mmm (No. 123)
One atom of each set of equivalent atoms:
Na (0.000, 0.000, 0.000)
Co (0.500, 0.500, 0.500)
W (0.000, 0.000, 0.500)
Cl (0.000, 0.500, 0.000)



# 8
Entry from Alexandria via LeMat-Bulk: SrPmN after structural relaxation (GGA-PBE).

Computed properties:
- total magnetic moment (μB per formula unit) = 0.262
- raw total energy (eV/atom) = -5.64
- energy relative to the elements, uncorrected (meV/atom) = -723

Cell: 3.7545 3.7545 6.5044 Å, 90.00 90.00 120.00°
Space group P3m1 (No. 156)
One atom of each set of equivalent atoms:
Sr (0.0000, 0.0000, 0.0000)
Pm (0.3333, 0.6667, 0.5596)
N (0.6667, 0.3333, 0.7192)



# 9
Entry from Alexandria via LeMat-Bulk: Ac2TlIrO6 after structural relaxation (GGA-PBE).

Computed properties:
- total magnetic moment (μB per formula unit) = 2.024
- raw total energy (eV/atom) = -6.90
- energy relative to the elements, uncorrected (meV/atom) = -1978

Cell: 6.4287 6.4287 14.2099 Å, 90.00 90.00 120.00°
Space group R-3 (No. 148, hexagonal axes)
One atom of each set of equivalent atoms:
Ac (0.0000, 0.0000, 0.2283)
Tl (0.0000, 0.0000, 0.5000)
Ir (0.0000, 0.0000, 0.0000)
O (0.0032, 0.7490, 0.0827)



# 10
Entry from Alexandria via LeMat-Bulk: Nb3FeBr after structural relaxation (GGA-PBE).

Computed properties:
- total magnetic moment (μB per formula unit) = 0.000
- ΔE to the lowest computed polymorph (kJ/mol of formula units) = 0
- raw total energy (eV/atom) = -7.17
- energy relative to the elements, uncorrected (meV/atom) = 897

Cell: 4.682 4.682 4.682 Å, 90.00 90.00 90.00°
Space group Pm-3m (No. 221)
One atom of each set of equivalent atoms:
Nb (0.000, 0.000, 0.500)
Fe (0.000, 0.000, 0.000)
Br (0.500, 0.500, 0.500)



# 11
Entry from Alexandria via LeMat-Bulk: LiGaAu14 after structural relaxation (GGA-PBE).

Computed properties:
- total magnetic moment (μB per formula unit) = 0.000
- formation enthalpy at 0 K (eV/atom) = -0.105
- raw total energy (eV/atom) = -3.28

Cell: 5.948 5.948 8.018 Å, 90.00 90.00 90.00°
Space group P4/mmm (No. 123)
One atom of each set of equivalent atoms:
Li (0.000, 0.000, 0.000)
Ga (0.500, 0.500, 0.000)
Au (0.000, 0.000, 0.500)
Au (0.000, 0.500, 0.000)
Au (0.000, 0.500, 0.500)
Au (0.250, 0.250, 0.244)
Au (0.500, 0.500, 0.500)



# 12
Entry from Alexandria via LeMat-Bulk: Li2ScHg after structural relaxation (GGA-PBE).

Computed properties:
- total magnetic moment (μB per formula unit) = 0.304
- formation enthalpy at 0 K (eV/atom) = -0.191
- raw total energy (eV/atom) = -2.81

Cell: 6.737 6.737 6.737 Å, 90.00 90.00 90.00°
Space group F-43m (No. 216)
One atom of each set of equivalent atoms:
Li (0.000, 0.000, 0.000)
Li (0.250, 0.250, 0.250)
Sc (0.000, 0.000, 0.500)
Hg (0.250, 0.250, 0.750)



# 13
Entry from Alexandria via LeMat-Bulk: LaNi2Ru after structural relaxation (GGA-PBE).

Computed properties:
- total magnetic moment (μB per formula unit) = 0.948
- formation enthalpy at 0 K (eV/atom) = 0.188
- raw total energy (eV/atom) = -6.25

Cell: 6.422 6.422 6.422 Å, 90.00 90.00 90.00°
Space group Fm-3m (No. 225)
One atom of each set of equivalent atoms:
La (0.000, 0.000, 0.000)
Ni (0.250, 0.250, 0.250)
Ru (0.000, 0.000, 0.500)



# 14
Entry from Alexandria via LeMat-Bulk: AcAgPtO6 after structural relaxation (GGA-PBE).

Computed properties:
- total magnetic moment (μB per formula unit) = 0.000
- raw total energy (eV/atom) = -5.67
- energy relative to the elements, uncorrected (meV/atom) = -920

Cell: 6.2757 6.2757 6.9747 Å, 90.00 90.00 120.00°
Space group P-31c (No. 163)
One atom of each set of equivalent atoms:
Ac (0.3333, 0.6667, 0.2500)
Ag (0.0000, 0.0000, 0.0000)
Pt (0.3333, 0.6667, 0.7500)
O (0.0805, 0.4052, 0.5882)



# 15
Entry from Alexandria via LeMat-Bulk: CrNiSb after structural relaxation (GGA-PBE).

Computed properties:
- total magnetic moment (μB per formula unit) = 3.588
- raw total energy (eV/atom) = -6.38
- energy relative to the elements, uncorrected (meV/atom) = 134

Cell: 4.2497 4.2497 3.1574 Å, 90.00 90.00 120.00°
Space group P3m1 (No. 156)
One atom of each set of equivalent atoms:
Cr (0.0000, 0.0000, 0.0000)
Ni (0.3333, 0.6667, 0.5025)
Sb (0.6667, 0.3333, 0.4988)



# 16
Entry from Alexandria via LeMat-Bulk: Na2InSn4 after structural relaxation (GGA-PBE).

Computed properties:
- total magnetic moment (μB per formula unit) = 0.000
- formation enthalpy at 0 K (eV/atom) = -0.043
- ΔE to the lowest computed polymorph (kJ/mol of formula units) = 0
- raw total energy (eV/atom) = -3.10

Cell: 8.963 9.073 6.630 Å, 90.00 131.58 90.00°
Space group C2/m (No. 12)
One atom of each set of equivalent atoms:
Na (0.250, 0.250, 0.000)
In (0.000, 0.000, 0.000)
Sn (0.000, 0.000, 0.500)
Sn (0.000, 0.500, 0.500)
Sn (0.250, 0.250, 0.500)



# 17
Entry from Alexandria via LeMat-Bulk: Na12Te3O5 after structural relaxation (GGA-PBE).

Computed properties:
- total magnetic moment (μB per formula unit) = 4.111
- raw total energy (eV/atom) = -3.39
- energy relative to the elements, uncorrected (meV/atom) = -884

Cell: 15.427 15.427 15.427 Å, 90.00 90.00 90.00°
Space group Ia-3d (No. 230)
One atom of each set of equivalent atoms:
Na (0.040, 0.045, 0.640)
Te (0.000, 0.250, 0.125)
O (0.000, 0.000, 0.000)
O (0.000, 0.250, 0.375)



# 18
Entry from Alexandria via LeMat-Bulk: GaSb2TeO after structural relaxation (GGA-PBE).

Computed properties:
- total magnetic moment (μB per formula unit) = 0.000
- ΔE to the lowest computed polymorph (kJ/mol of formula units) = 452
- raw total energy (eV/atom) = -2.89
- energy relative to the elements, uncorrected (meV/atom) = 983

Cell: 5.292 5.292 5.221 Å, 90.00 90.00 90.00°
Space group P4/mmm (No. 123)
One atom of each set of equivalent atoms:
Ga (0.000, 0.000, 0.000)
Sb (0.000, 0.500, 0.000)
Te (0.000, 0.000, 0.500)
O (0.500, 0.500, 0.500)